1.
Compound: CaMgSe
Source: the Alexandria database
Functional: PBE
Structure: relaxed

abc: 6.4796 6.4747 3.5894
angles: 73.99 73.84 32.17
Closest atoms and distances in Å follow each position.
Atoms (fractional coordinates):
Ca 0.0265 0.0265 0.9735  4 Se 3.04-3.05, 1 Mg 3.32
Mg 0.3054 0.3054 0.6946  4 Se 3.01-3.02, 1 Ca 3.32
Se 0.6681 0.6681 0.3319  4 Mg 3.01-3.02, 4 Ca 3.04-3.05

## Properties
ΔE to the lowest computed polymorph in meV per atom: 130.9
DOS at the Fermi energy in states/eV per cell: 0.49
VASP energy in eV for the cell shown: -9.7
Theoretical density in g/cm³: 3.10
Formation energy (no corrections) in eV per atom: -0.864

***

2.
Compound: CaMgSe
Source: the Alexandria database
Functional: PBE
Structure: relaxed

abc: 4.9749 4.9749 4.9749
angles: 60.00 60.00 60.00
Closest atoms and distances in Å follow each position.
Atoms (fractional coordinates):
Ca 0.0000 0.0000 0.0000  4 Se 3.05
Mg 0.5000 0.5000 0.5000  4 Se 3.05
Se 0.7500 0.7500 0.7500  4 Mg 3.05, 4 Ca 3.05

## Properties
ΔE to the lowest computed polymorph in meV per atom: 380.3
DOS at the Fermi energy in states/eV per cell: 3.24
VASP energy in eV for the cell shown: -8.9
Theoretical density in g/cm³: 2.73
Formation energy (no corrections) in eV per atom: -0.614

***

3.
Compound: CaMgSe3
Source: the Alexandria database
Functional: PBE
Structure: relaxed

abc: 5.4104 5.4104 5.4104
angles: 90.00 90.00 90.00
Closest atoms and distances in Å follow each position.
Atoms (fractional coordinates):
Ca 0.0000 0.0000 0.0000  6 Se 2.71
Mg 0.5000 0.5000 0.5000  12 Se 3.83
Se 0.0000 0.5000 0.0000  2 Ca 2.71
Se 0.0000 0.0000 0.5000  2 Ca 2.71
Se 0.5000 0.0000 0.0000  2 Ca 2.71

## Properties
ΔE to the lowest computed polymorph in meV per atom: 562.6
DOS at the Fermi energy in states/eV per cell: 6.39
VASP energy in eV for the cell shown: -14.9
Theoretical density in g/cm³: 3.16
Formation energy (no corrections) in eV per atom: -0.172

***

4.
Compound: Ca2Mg2Se
Source: the Alexandria database
Functional: PBE
Structure: relaxed

abc: 4.6172 4.6172 8.1783
angles: 73.60 73.60 90.00
Closest atoms and distances in Å follow each position.
Atoms (fractional coordinates):
Ca 0.7500 0.2500 0.5000  4 Ca 3.26, 4 Mg 3.32
Ca 0.2500 0.7500 0.5000  4 Ca 3.26, 4 Mg 3.32
Mg 0.4091 0.4091 0.1818  1 Mg 2.73
Mg 0.5909 0.5909 0.8182  1 Mg 2.73
Se 0.0000 0.0000 0.0000  8 Mg 3.54

## Properties
ΔE to the lowest computed polymorph in meV per atom: 504.2
DOS at the Fermi energy in states/eV per cell: 3.13
VASP energy in eV for the cell shown: -9.9
Theoretical density in g/cm³: 2.16
Formation energy (no corrections) in eV per atom: 0.158

***

5.
Compound: CaMg2Se
Source: the Alexandria database
Functional: PBE
Structure: relaxed

abc: 4.1970 4.1924 5.9870
angles: 90.00 90.00 90.00
Closest atoms and distances in Å follow each position.
Atoms (fractional coordinates):
Ca 0.0000 0.5000 0.5000  4 Se 2.97
Mg 0.0000 0.0000 0.0000  4 Mg 2.97
Mg 0.5000 0.5000 0.0000  4 Mg 2.97
Se 0.5000 0.0000 0.5000  4 Ca 2.97

## Properties
DOS at the Fermi energy in states/eV per cell: 0.71
VASP energy in eV for the cell shown: -11.0
Theoretical density in g/cm³: 2.64
Formation energy (no corrections) in eV per atom: -0.577

***

6.
Compound: Ca2MgSe2
Source: the Alexandria database
Functional: PBE
Structure: relaxed

abc: 7.9346 7.9346 3.8996
angles: 90.00 90.00 90.00
Closest atoms and distances in Å follow each position.
Atoms (fractional coordinates):
Ca 0.1551 0.6551 0.5000  6 Se 2.90-3.13
Ca 0.6551 0.8449 0.5000  6 Se 2.90-3.13
Ca 0.8449 0.3449 0.5000  6 Se 2.90-3.13
Ca 0.3449 0.1551 0.5000  6 Se 2.90-3.13
Mg 0.0000 0.0000 0.0000  4 Se 3.01
Mg 0.5000 0.5000 0.0000  4 Se 3.01
Se 0.3463 0.8463 0.0000  6 Ca 2.90-3.13, 2 Mg 3.01
Se 0.8463 0.6537 0.0000  6 Ca 2.90-3.13, 2 Mg 3.01
Se 0.6537 0.1537 0.0000  6 Ca 2.90-3.13, 2 Mg 3.01
Se 0.1537 0.3463 0.0000  6 Ca 2.90-3.13, 2 Mg 3.01

## Properties
DOS at the Fermi energy in states/eV per cell: 0.20
VASP energy in eV for the cell shown: -38.7
Theoretical density in g/cm³: 3.55
Formation energy (no corrections) in eV per atom: -1.354

***

7.
Compound: CaMg2Se
Source: the Alexandria database
Functional: PBE
Structure: relaxed

abc: 8.6608 8.6608 6.7811
angles: 50.31 50.31 90.00
Closest atoms and distances in Å follow each position.
Atoms (fractional coordinates):
Ca 0.5000 0.5000 0.0000  2 Se 2.91
Ca 0.2500 0.7500 0.5000  2 Se 2.91
Mg 0.6872 0.1250 0.2500  2 Se 2.80, 2 Mg 3.10
Mg 0.0628 0.6250 0.2500  2 Se 2.80, 2 Mg 3.10
Mg 0.3750 0.3128 0.7500  2 Se 2.80, 2 Mg 3.10
Mg 0.8750 0.9372 0.7500  2 Se 2.80, 2 Mg 3.10
Se 0.0000 0.0000 0.0000  4 Mg 2.80, 2 Ca 2.91
Se 0.7500 0.2500 0.5000  4 Mg 2.80, 2 Ca 2.91

## Properties
DOS at the Fermi energy in states/eV per cell: 0.00
VASP energy in eV for the cell shown: -22.2
Theoretical density in g/cm³: 2.55
Formation energy (no corrections) in eV per atom: -0.601

***

8.
Compound: CaMg2Se
Source: the Alexandria database
Functional: PBE
Structure: relaxed

abc: 3.6319 3.6319 7.4684
angles: 90.00 90.00 89.99
Closest atoms and distances in Å follow each position.
Atoms (fractional coordinates):
Ca 0.5000 0.5000 0.7150  4 Se 3.08, 1 Mg 3.34
Mg 0.0000 0.0000 0.0307  4 Mg 3.12, 1 Se 3.40, 4 Ca 3.49
Mg 0.5000 0.5000 0.2679  4 Se 3.04, 4 Mg 3.12, 1 Ca 3.34
Se 0.0000 0.0000 0.4864  5 Mg 3.04-3.40, 4 Ca 3.08

## Properties
DOS at the Fermi energy in states/eV per cell: 1.57
VASP energy in eV for the cell shown: -11.0
Theoretical density in g/cm³: 2.83
Formation energy (no corrections) in eV per atom: -0.589

***

9.
Compound: CaMgSe
Source: the Alexandria database
Functional: PBE
Structure: relaxed

abc: 5.0541 5.0541 5.0541
angles: 60.00 60.00 60.00
Closest atoms and distances in Å follow each position.
Atoms (fractional coordinates):
Ca 0.7500 0.7500 0.7500  4 Mg 3.09, 4 Se 3.09
Mg 0.0000 0.0000 0.0000  4 Ca 3.09
Se 0.5000 0.5000 0.5000  4 Ca 3.09

## Properties
ΔE to the lowest computed polymorph in meV per atom: 443.6
VASP energy in eV for the cell shown: -8.7
Theoretical density in g/cm³: 2.61
Formation energy (no corrections) in eV per atom: -0.551

***

10.
Compound: CaMg2Se
Source: the Alexandria database
Functional: PBE
Structure: relaxed

abc: 4.1247 4.1223 6.0248
angles: 90.00 90.00 90.00
Closest atoms and distances in Å follow each position.
Atoms (fractional coordinates):
Ca 0.5000 0.5000 0.7500  2 Se 3.01, 8 Mg 3.32
Mg 0.0000 0.0000 0.0123  2 Mg 2.86-3.16
Mg 0.0000 0.0000 0.4877  2 Mg 2.86-3.16
Se 0.5000 0.5000 0.2500  2 Ca 3.01, 8 Mg 3.25

## Properties
DOS at the Fermi energy in states/eV per cell: 3.12
VASP energy in eV for the cell shown: -10.1
Theoretical density in g/cm³: 2.72
Formation energy (no corrections) in eV per atom: -0.346

***

11.
Compound: CaMg2Se
Source: the Alexandria database
Functional: PBE
Structure: relaxed

abc: 3.5467 3.5467 8.1159
angles: 90.00 90.00 89.99
Closest atoms and distances in Å follow each position.
Atoms (fractional coordinates):
Ca 0.5000 0.5000 0.7500  4 Ca 3.55, 8 Mg 3.56
Mg 0.0000 0.0000 0.0611  4 Se 2.94, 1 Mg 3.07
Mg 0.0000 0.0000 0.4389  4 Se 2.94, 1 Mg 3.07
Se 0.5000 0.5000 0.2500  8 Mg 2.94

## Properties
DOS at the Fermi energy in states/eV per cell: 1.13
VASP energy in eV for the cell shown: -10.5
Theoretical density in g/cm³: 2.73
Formation energy (no corrections) in eV per atom: -0.463

***

12.
Compound: CaMg2Se3
Source: the Alexandria database
Functional: PBE
Structure: relaxed

abc: 3.9884 5.7321 6.9384
angles: 114.40 106.70 90.00
Closest atoms and distances in Å follow each position.
Atoms (fractional coordinates):
Ca 0.0000 0.5000 0.0000  6 Se 2.87-2.93
Mg 0.6670 0.1670 0.3339  6 Se 2.72-2.87
Mg 0.3330 0.8330 0.6661  6 Se 2.72-2.87
Se 0.3212 0.3212 0.6425  4 Mg 2.72-2.87, 2 Ca 2.93
Se 0.0000 0.0000 0.0000  4 Mg 2.83, 2 Ca 2.87
Se 0.6788 0.6788 0.3575  4 Mg 2.72-2.87, 2 Ca 2.93

## Properties
DOS at the Fermi energy in states/eV per cell: 0.00
VASP energy in eV for the cell shown: -24.5
Theoretical density in g/cm³: 3.94
Formation energy (no corrections) in eV per atom: -1.478

***

Which value of formation energy (no corrections) does entry 10 give?
-0.346 eV per atom